The following is a GGA+U calculation of a geometry-optimized Bi2HWO6 structure, from the Alexandria database.

Cell lengths 5.812, 6.319, 8.214 Å; angles 90.00, 86.61, 90.00 degrees
Each line ends with the local moment (μB).
Positions (direct):
O1 0.420 0.710 0.439  0.01
O2 0.278 0.615 0.086  0.01
O3 0.222 0.115 0.414  0.01
O4 0.920 0.790 0.939  0.01
O5 0.778 0.885 0.586  0.01
O6 0.336 0.942 0.711  0.01
O7 0.722 0.385 0.914  0.01
O8 0.080 0.210 0.061  0.01
O9 0.836 0.558 0.211  0.01
O10 0.580 0.290 0.561  0.01
O11 0.664 0.058 0.289  0.01
O12 0.164 0.442 0.789  0.01
Bi1 0.013 0.943 0.231  0.00
Bi2 0.513 0.557 0.731  0.00
Bi3 0.487 0.443 0.269  0.00
Bi4 0.987 0.057 0.769  0.00
H1 0.000 0.500 0.500  0.36
H2 0.500 0.000 0.000  0.36
W1 0.500 0.000 0.500  0.02
W2 0.000 0.500 0.000  0.02

Computed properties:
The calculation puts the total energy at -5.987 eV/atom. The space group is P2_1/c, No. 14. Its volume is 301.15 Å³/cell.